(1)
Here is crystalline ZrPa3Co2 at its relaxed geometry from Alexandria. Energies are from GGA-PBE.

Computed properties:
- Formation enthalpy at 0 K: -0.191 eV per atom
- Volume: 20.216 Å³ per atom

Lattice parameters (Å, degrees): 8.676 8.676 8.804 107.03 107.03 22.56
Atoms (fractional coordinates):
Zr 0.109 0.109 0.111
Zr 0.891 0.891 0.889
Pa 0.030 0.030 0.672
Pa 0.313 0.313 0.133
Pa 0.349 0.349 0.534
Pa 0.651 0.651 0.466
Pa 0.687 0.687 0.867
Pa 0.970 0.970 0.328
Co 0.248 0.248 0.707
Co 0.490 0.490 0.131
Co 0.510 0.510 0.869
Co 0.752 0.752 0.293



(2)
Here is crystalline KInSi2 at its relaxed geometry from Alexandria. Energies are from GGA-PBE.

Computed properties:
- E_form (uncorrected): 0.251 eV per atom
- Volume: 26.589 Å³ per atom

Lattice parameters (Å, degrees): 3.150 4.976 6.844 90.00 97.51 90.00
Atoms (fractional coordinates):
K 0.000 0.000 0.000
In 0.500 0.000 0.500
Si 0.287 0.500 0.648
Si 0.713 0.500 0.352



(3)
Here is crystalline ThCu2Pd at its relaxed geometry from Alexandria. Energies are from GGA-PBE.

Computed properties:
- Formation enthalpy at 0 K: -0.283 eV per atom
- Volume: 18.843 Å³ per atom

Lattice parameters (Å, degrees): 5.216 5.216 5.216 49.47 49.47 49.47
Atoms (fractional coordinates):
Th 0.000 0.000 0.000
Cu 0.212 0.212 0.212
Cu 0.788 0.788 0.788
Pd 0.500 0.500 0.500



(4)
Here is crystalline Zr3Cl at its relaxed geometry from Alexandria. Energies are from GGA-PBE.

Computed properties:
- ΔE to the lowest computed polymorph: 0.611 eV per atom
- E_form (uncorrected): 0.200 eV per atom
- Volume: 21.924 Å³ per atom

Lattice parameters (Å, degrees): 5.630 5.630 5.630 135.08 135.08 65.41
Atoms (fractional coordinates):
Zr 0.000 0.000 0.000
Zr 0.250 0.750 0.500
Zr 0.750 0.250 0.500
Cl 0.500 0.500 0.000



(5)
Here is crystalline Co2ReNi at its relaxed geometry from Alexandria. Energies are from GGA-PBE.

Computed properties:
- ΔE to the lowest computed polymorph: 0.050 eV per atom
- Formation enthalpy at 0 K: 0.062 eV per atom
- Volume: 11.961 Å³ per atom

Lattice parameters (Å, degrees): 2.588 2.588 7.143 90.00 90.00 90.00
Atoms (fractional coordinates):
Co 0.000 0.000 0.000
Co 0.500 0.500 0.228
Re 0.500 0.500 0.735
Ni 0.000 0.000 0.471



(6)
Here is crystalline CaMgNbP2 at its relaxed geometry from Alexandria. Energies are from GGA-PBE.

Computed properties:
- Formation enthalpy at 0 K: 0.764 eV per atom
- Volume: 23.794 Å³ per atom

Lattice parameters (Å, degrees): 4.893 4.893 4.970 90.00 90.00 90.00
Atoms (fractional coordinates):
Ca 0.000 0.000 0.000
Mg 0.500 0.500 0.500
Nb 0.500 0.500 0.000
P 0.000 0.500 0.500
P 0.500 0.000 0.500



(7)
Here is crystalline MgNbCoCu at its relaxed geometry from Alexandria. Energies are from GGA-PBE.

Computed properties:
- Formation enthalpy at 0 K: 0.026 eV per atom
- Volume: 14.542 Å³ per atom

Lattice parameters (Å, degrees): 4.349 4.349 4.349 60.00 60.00 60.00
Atoms (fractional coordinates):
Mg 0.000 0.000 0.000
Nb 0.500 0.500 0.500
Co 0.250 0.250 0.250
Cu 0.750 0.750 0.750



(8)
Here is crystalline NdIn2Te4Au at its relaxed geometry from Alexandria. Energies are from GGA-PBE.

Computed properties:
- E_form (uncorrected): -0.487 eV per atom
- Volume: 31.771 Å³ per atom

Lattice parameters (Å, degrees): 7.809 4.302 8.088 90.00 110.69 90.00
Atoms (fractional coordinates):
Nd 0.000 0.000 0.000
In 0.000 0.500 0.500
In 0.500 0.000 0.500
Te 0.235 0.500 0.258
Te 0.285 0.000 0.786
Te 0.715 0.000 0.214
Te 0.765 0.500 0.742
Au 0.500 0.500 0.000



(9)
Here is crystalline Na2PdCl6 at its relaxed geometry from Alexandria. Energies are from GGA-PBE.

Computed properties:
- ΔE to the lowest computed polymorph: 0.055 eV per atom
- E_form (uncorrected): -0.962 eV per atom
- Volume: 26.267 Å³ per atom

Lattice parameters (Å, degrees): 6.303 6.303 11.900 90.00 90.00 90.00
Atoms (fractional coordinates):
Na 0.000 0.000 0.166
Na 0.000 0.000 0.834
Na 0.500 0.500 0.334
Na 0.500 0.500 0.666
Pd 0.000 0.000 0.500
Pd 0.500 0.500 0.000
Cl 0.181 0.181 0.356
Cl 0.181 0.181 0.644
Cl 0.236 0.236 0.000
Cl 0.264 0.736 0.500
Cl 0.319 0.681 0.144
Cl 0.319 0.681 0.856
Cl 0.681 0.319 0.144
Cl 0.681 0.319 0.856
Cl 0.736 0.264 0.500
Cl 0.764 0.764 0.000
Cl 0.819 0.819 0.356
Cl 0.819 0.819 0.644



(10)
Here is crystalline CeYPuOs at its relaxed geometry from Alexandria. Energies are from GGA-PBE.

Computed properties:
- Formation enthalpy at 0 K: 0.139 eV per atom
- Volume: 22.843 Å³ per atom

Lattice parameters (Å, degrees): 5.056 5.056 5.056 60.00 60.00 60.00
Atoms (fractional coordinates):
Ce 0.000 0.000 0.000
Y 0.500 0.500 0.500
Pu 0.250 0.250 0.250
Os 0.750 0.750 0.750



(11)
Here is crystalline Nd3CuSn at its relaxed geometry from Alexandria. Energies are from GGA-PBE.

Computed properties:
- Formation enthalpy at 0 K: -0.330 eV per atom
- Volume: 29.388 Å³ per atom

Lattice parameters (Å, degrees): 8.580 8.580 8.891 90.92 90.92 26.68
Atoms (fractional coordinates):
Nd 0.000 0.000 0.000
Nd 0.213 0.213 0.608
Nd 0.297 0.297 0.002
Nd 0.510 0.510 0.610
Nd 0.651 0.651 0.261
Nd 0.859 0.859 0.350
Cu 0.040 0.040 0.366
Cu 0.469 0.469 0.244
Sn 0.644 0.644 0.885
Sn 0.866 0.866 0.726



(12)
Here is crystalline SrDyGa2Au5 at its relaxed geometry from Alexandria. Energies are from GGA-PBE.

Computed properties:
- Formation enthalpy at 0 K: -0.497 eV per atom
- Volume: 21.801 Å³ per atom

Lattice parameters (Å, degrees): 4.825 4.825 8.428 90.00 90.00 90.00
Atoms (fractional coordinates):
Sr 0.000 0.000 0.000
Dy 0.000 0.000 0.500
Ga 0.500 0.500 0.351
Ga 0.500 0.500 0.649
Au 0.000 0.500 0.254
Au 0.000 0.500 0.746
Au 0.500 0.000 0.254
Au 0.500 0.000 0.746
Au 0.500 0.500 0.000



no.,final energy (eV per atom)
1,-8.733
2,-3.419
3,-5.485
4,-6.673
5,-8.048
6,-4.134
7,-5.690
8,-3.748
9,-3.063
10,-9.351
11,-4.810
12,-3.689